Li2AsHPb (PBE, relaxed); theoretical density = 5.3 Mg/m³; space-group type = P4/mmm, No. 123; E above lowest polymorph = 241 meV per atom
1.0
5.1271 0.0000 0.0000
0.0000 5.1271 0.0000
0.0000 0.0000 3.5109
Li As H Pb
2 1 1 1
direct
0.0000 0.5000 0.0000
0.5000 0.0000 0.0000
0.0000 0.0000 0.0000
0.0000 0.0000 0.5000
0.5000 0.5000 0.5000